Record 1
InNiRh2 (meta-GGA SCAN, single point on PBEsol structure); crystal system = orthorhombic; calculated formation energy = 13 meV per atom
1.0
2.833 0.000 0.000
0.000 4.525 0.000
0.000 0.000 8.863
In Ni Rh
2 2 4
Direct
0.000 0.000 0.000
0.500 0.500 0.500
0.000 0.000 0.500
0.500 0.500 0.000
0.000 0.500 0.235
0.000 0.500 0.765
0.500 0.000 0.265
0.500 0.000 0.735

---

Record 2
ScAg2W (meta-GGA SCAN, single point on PBEsol structure); polymorph energy (0 for the lowest one) = 0.037 eV per atom; crystal system = monoclinic; calculated formation energy = 379 meV per atom
1.0
9.564 0.000 0.000
0.000 2.764 0.000
-0.815 0.000 5.146
Sc Ag W
2 4 2
Direct
0.000 0.000 0.000
0.500 0.500 0.000
0.007 0.500 0.506
0.258 0.500 0.251
0.507 0.000 0.506
0.758 0.000 0.251
0.258 0.000 0.738
0.758 0.500 0.738